DFT (PBE-GGA) results for Er3Th12Au5 after structural relaxation.

a b c (Å): 17.9535 17.9535 17.9535
angles (deg): 90.00 90.00 90.00
Space group Ia-3d (No. 230)
Symmetry-distinct sites (fractional):
1 Er 0.0000 0.2500 0.1250 [24 per cell]
2 Th 0.0201 0.0707 0.6499 [96 per cell]
3 Au 0.0000 0.0000 0.0000 [16 per cell]
4 Au 0.0000 0.2500 0.3750 [24 per cell]

Calculated values
- energy of formation (eV/atom) = 0.3854
- E_tot (Ry per atom) = -0.4094
- calculated volume (Å³ per cell) = 5787

=====

DFT (PBE-GGA) results for Rb2Ag3Sn9 after structural relaxation.

a b c (Å): 14.4843 8.6760 13.8769
angles (deg): 90.00 109.66 90.00
Space group C2/c (No. 15)
Symmetry-distinct sites (fractional):
1 Rb 0.1669 0.0827 0.2535 [8 per cell]
2 Ag 0.1099 0.2453 0.5500 [8 per cell]
3 Ag 0.2500 0.2500 0.0000 [4 per cell]
4 Sn 0.0000 0.3886 0.2500 [4 per cell]
5 Sn 0.0636 0.0904 0.9415 [8 per cell]
6 Sn 0.0861 0.4086 0.0678 [8 per cell]
7 Sn 0.1064 0.3062 0.7662 [8 per cell]
8 Sn 0.2085 0.4256 0.4358 [8 per cell]

Calculated values
- energy of formation (eV/atom) = -0.0361
- E_tot (Ry per atom) = -0.2468
- calculated volume (Å³ per cell) = 1642

=====

DFT (PBE-GGA) results for ZnOsRh after structural relaxation.

a b c (Å): 2.7347 2.7347 6.5745
angles (deg): 90.00 90.00 120.00
Space group P3m1 (No. 156)
Symmetry-distinct sites (fractional):
1 Zn 0.0000 0.0000 0.0000 [1 per cell]
2 Os 0.6667 0.3333 0.3419 [1 per cell]
3 Rh 0.3333 0.6667 0.6672 [1 per cell]

Calculated values
- energy of formation (eV/atom) = 0.0234
- E_tot (Ry per atom) = -0.4847
- calculated volume (Å³ per cell) = 43
- excess energy over the best structure of this formula in the dataset (meV per atom) = 14

=====

DFT (PBE-GGA) results for MgTlOs2 after structural relaxation.

a b c (Å): 4.4491 4.4491 3.3706
angles (deg): 90.00 90.00 90.00
Space group P4/mmm (No. 123)
Symmetry-distinct sites (fractional):
1 Mg 0.0000 0.0000 0.0000 [1 per cell]
2 Tl 0.5000 0.5000 0.0000 [1 per cell]
3 Os 0.0000 0.5000 0.5000 [2 per cell]

Calculated values
- energy of formation (eV/atom) = 0.8573
- E_tot (Ry per atom) = -0.4225
- calculated volume (Å³ per cell) = 67

=====

DFT (PBE-GGA) results for ZnCu2Si after structural relaxation.

a b c (Å): 2.6933 2.6933 24.6941
angles (deg): 90.00 90.00 120.00
Space group R-3m (No. 166, hexagonal axes)
Symmetry-distinct sites (fractional):
1 Zn 0.0000 0.0000 0.0000 [3 per cell]
2 Cu 0.0000 0.0000 0.2465 [6 per cell]
3 Si 0.0000 0.0000 0.5000 [3 per cell]

Calculated values
- E_tot (Ry per atom) = -0.2750
- calculated volume (Å³ per cell) = 155
- uncorrected formation energy (eV/f.u.) = -0.08

=====

DFT (PBE-GGA) results for CuAuNF2 after structural relaxation.

a b c (Å): 4.6071 4.6071 3.7439
angles (deg): 90.00 90.00 90.00
Space group P4/mmm (No. 123)
Symmetry-distinct sites (fractional):
1 Cu 0.0000 0.0000 0.0000 [1 per cell]
2 Au 0.5000 0.5000 0.5000 [1 per cell]
3 N 0.5000 0.5000 0.0000 [1 per cell]
4 F 0.0000 0.5000 0.5000 [2 per cell]

Calculated values
- E_tot (Ry per atom) = -0.2547
- calculated volume (Å³ per cell) = 79
- excess energy over the best structure of this formula in the dataset (meV per atom) = 271
- uncorrected formation energy (eV/f.u.) = 2.11

=====

DFT (PBE-GGA) results for TbY2Cu after structural relaxation.

a b c (Å): 3.5535 3.5535 32.2008
angles (deg): 90.00 90.00 120.00
Space group R-3m (No. 166, hexagonal axes)
Symmetry-distinct sites (fractional):
1 Tb 0.0000 0.0000 0.0000 [3 per cell]
2 Y 0.0000 0.0000 0.1059 [6 per cell]
3 Cu 0.0000 0.0000 0.5000 [3 per cell]

Calculated values
- energy of formation (eV/atom) = 0.2389
- E_tot (Ry per atom) = -0.3803
- calculated volume (Å³ per cell) = 352
- excess energy over the best structure of this formula in the dataset (meV per atom) = 346

=====

DFT (PBE-GGA) results for PuFeSi2 after structural relaxation.

a b c (Å): 2.7791 2.7791 27.7499
angles (deg): 90.00 90.00 120.00
Space group R-3m (No. 166, hexagonal axes)
Symmetry-distinct sites (fractional):
1 Pu 0.0000 0.0000 0.0000 [3 per cell]
2 Fe 0.0000 0.0000 0.5000 [3 per cell]
3 Si 0.0000 0.0000 0.1037 [6 per cell]

Calculated values
- E_tot (Ry per atom) = -0.6098
- calculated volume (Å³ per cell) = 186
- uncorrected formation energy (eV/f.u.) = 0.45